The following is a DFT calculation (GGA-PBE) of a geometry-optimized Y2TiMo2 structure.

The calculation puts the calculated total energy at -8.199 eV per atom. The calculation puts the calculated density at 6.26 Mg/m³. The value obtained for the energy relative to the elements is 1.49 eV/f.u.

The space group is P4/mbm (No. 127) and the conventional cell measures 6.671, 6.671 and 4.974 Å, with angles of 90.00, 90.00 and 90.00 degrees. Symmetry generates all atoms from Y at (0.174, 0.326, 0.000), Ti at (0.000, 0.000, 0.500) and Mo at (0.132, 0.632, 0.500).


The following is a DFT calculation (GGA-PBE) of a geometry-optimized YTiMo2 structure.

The calculation puts the calculated total energy at -8.613 eV per atom. The value obtained for the energy above the most stable polymorph in this dataset is 0 meV per atom. The calculation puts the calculated density at 7.44 Mg/m³. The value obtained for the energy relative to the elements is 1.57 eV/f.u.

The space group is Fm-3m (No. 225) and the conventional cell measures 6.643, 6.643 and 6.643 Å, with angles of 90.00, 90.00 and 90.00 degrees. Symmetry generates all atoms from Y at (0.000, 0.000, 0.000), Ti at (0.000, 0.000, 0.500) and Mo at (0.250, 0.250, 0.250).


The following is a DFT calculation (GGA-PBE) of a geometry-optimized Y3TiMo structure.

The calculation puts the calculated total energy at -6.477 eV per atom. The value obtained for the energy above the most stable polymorph in this dataset is 330 meV per atom. The calculation puts the calculated density at 4.64 Mg/m³. The value obtained for the energy relative to the elements is 5.73 eV/f.u.

The space group is Pm-3m (No. 221) and the conventional cell measures 5.277, 5.277 and 5.277 Å, with angles of 90.00, 90.00 and 90.00 degrees. Symmetry generates all atoms from Y at (0.000, 0.000, 0.500), Ti at (0.000, 0.000, 0.000) and Mo at (0.500, 0.500, 0.500).


The following is a DFT calculation (GGA-PBE) of a geometry-optimized TiZn2Mo structure.

The calculation puts the calculated total energy at -5.230 eV per atom. The value obtained for the energy above the most stable polymorph in this dataset is 193 meV per atom. The calculation puts the calculated density at 7.54 Mg/m³. The value obtained for the energy relative to the elements is 0.36 eV/f.u.

The space group is Fm-3m (No. 225) and the conventional cell measures 6.231, 6.231 and 6.231 Å, with angles of 90.00, 90.00 and 90.00 degrees. Symmetry generates all atoms from Ti at (0.000, 0.000, 0.000), Zn at (0.250, 0.250, 0.250) and Mo at (0.000, 0.000, 0.500).


Question: energy relative to the elements of number 2 (YTiMo2)?
Answer: 1.57 eV/f.u.